## La2ZrCoO6 (PBE+U)

Data for a geometry-optimized La2ZrCoO6 structure.

Unit cell a=5.6354 b=5.7447 c=8.3394 alpha=90.00 beta=88.64 gamma=90.00
Element x y z (fractional)
1 La 0.0174 0.9537 0.2542
2 La 0.5174 0.5463 0.7542
3 La 0.9826 0.0463 0.7458
4 La 0.4826 0.4537 0.2458
5 Zr 0.5000 0.0000 0.5000
6 Zr 0.0000 0.5000 0.0000
7 Co 0.5000 0.0000 0.0000
8 Co 0.0000 0.5000 0.5000
9 O 0.2948 0.7120 0.0522
10 O 0.7948 0.7880 0.5522
11 O 0.7052 0.2880 0.9478
12 O 0.2052 0.2120 0.4478
13 O 0.2866 0.7082 0.4406
14 O 0.7866 0.7918 0.9406
15 O 0.7134 0.2918 0.5594
16 O 0.2134 0.2082 0.0594
17 O 0.8933 0.5354 0.2423
18 O 0.3933 0.9646 0.7423
19 O 0.1067 0.4646 0.7577
20 O 0.6067 0.0354 0.2577

Output
The calculation puts the total magnetization at 0.92 μB per formula unit. The calculated total energy is -8.197 eV/atom. The density of states at the Fermi level is 0.0 states/eV per cell.